KBiMo2 | PBE | relaxed

The structure belongs to space group I-42d (No. 122); the cell edges are 4.703, 4.703 and 20.606 Å and the angles 90.00°, 90.00° and 90.00°. The asymmetric unit holds K at (0.000, 0.000, 0.000), Bi at (0.000, 0.000, 0.500) and Mo at (0.071, 0.250, 0.625).

The calculation puts the calculated formation energy at 1.23 eV per atom. The density of states at the Fermi level comes out at 4.1 states/eV/f.u. Its total magnetic moment is 0.00 μB/cell.